(1)
Computed, not measured: LiHf2ZnO after structural relaxation at the GGA-PBE level of DFT.

Cell: 4.3797 4.3797 3.8763 Å, 90.00 90.00 90.00°
Closest atoms and distances in Å follow each position.
Fractional coordinates of all 5 atoms:
Li  0.0000  0.0000  0.0000  2 O 1.94
Hf  0.0000  0.5000  0.5000  2 O 2.19
Hf  0.5000  0.0000  0.5000  2 O 2.19
Zn  0.5000  0.5000  0.0000  8 Hf 2.92, 4 Li 3.10
O  0.0000  0.0000  0.5000  2 Li 1.94

## Properties
The theoretical density comes out at 9.95 g/cm3. Its calculated total energy is -6.71 eV/atom. Its space-group type is No. 123. As for the energy relative to the elements, uncorrected: -1.099 eV per atom.

=====

(2)
Computed, not measured: Li2HfZnO4 after structural relaxation at the GGA-PBE level of DFT.

Cell: 5.5037 5.5037 5.5037 Å, 135.06 135.06 65.43°
Closest atoms and distances in Å follow each position.
Fractional coordinates of all 8 atoms:
Li  0.0000  0.0000  0.0000  6 O 2.12-2.35
Li  0.7500  0.2500  0.5000  4 O 2.10
Hf  0.2500  0.7500  0.5000  6 O 2.08-2.10
Zn  0.5000  0.5000  0.0000  6 O 2.12-2.28
O  0.0255  0.5255  0.5000  1 Hf 2.08, 2 Li 2.12, 2 Zn 2.12
O  0.2539  0.2539  0.0000  2 Hf 2.10, 3 Li 2.10-2.35, 1 Zn 2.28
O  0.4745  0.9745  0.5000  1 Hf 2.08, 2 Li 2.12, 2 Zn 2.12
O  0.7461  0.7461  0.0000  2 Hf 2.10, 3 Li 2.10-2.35, 1 Zn 2.28

## Properties
The theoretical density comes out at 6.52 g/cm3. Its calculated total energy is -6.78 eV/atom. Its space-group type is No. 119. As for the energy relative to the elements, uncorrected: -2.415 eV per atom.

=====

(3)
Computed, not measured: LiHf2Os2 after structural relaxation at the GGA-PBE level of DFT.

Cell: 7.6039 7.6039 3.1816 Å, 90.00 90.00 90.00°
Closest atoms and distances in Å follow each position.
Fractional coordinates of all 10 atoms:
Li  0.0000  0.0000  0.0000  4 Os 2.93, 2 Li 3.18
Li  0.5000  0.5000  0.0000  4 Os 2.93, 2 Li 3.18
Hf  0.1534  0.3466  0.5000  6 Os 2.72-2.75
Hf  0.3466  0.8466  0.5000  6 Os 2.72-2.75
Hf  0.6534  0.1534  0.5000  6 Os 2.72-2.75
Hf  0.8466  0.6534  0.5000  6 Os 2.72-2.75
Os  0.1413  0.6413  0.0000  6 Hf 2.72-2.75, 2 Li 2.93, 1 Os 3.04
Os  0.3587  0.1413  0.0000  6 Hf 2.72-2.75, 2 Li 2.93, 1 Os 3.04
Os  0.6413  0.8587  0.0000  6 Hf 2.72-2.75, 2 Li 2.93, 1 Os 3.04
Os  0.8587  0.3587  0.0000  6 Hf 2.72-2.75, 2 Li 2.93, 1 Os 3.04

## Properties
For the formation energy from the elements, the calculation gives -0.177 eV per atom. The theoretical density comes out at 13.44 g/cm3. Its calculated total energy is -9.03 eV/atom. Its energy above the most stable polymorph in this dataset is 0.00 kJ/mol of atoms. Its space-group type is No. 127.

=====

(4)
Computed, not measured: LiHf2Os after structural relaxation at the GGA-PBE level of DFT.

Cell: 4.6187 4.6187 4.6187 Å, 60.00 60.00 60.00°
Closest atoms and distances in Å follow each position.
Fractional coordinates of all 4 atoms:
Li  0.0000  0.0000  0.0000  8 Hf 2.83
Hf  0.2500  0.2500  0.2500  4 Os 2.83, 4 Li 2.83
Hf  0.7500  0.7500  0.7500  4 Os 2.83, 4 Li 2.83
Os  0.5000  0.5000  0.5000  8 Hf 2.83

## Properties
For the formation energy from the elements, the calculation gives -0.400 eV per atom. The theoretical density comes out at 13.21 g/cm3. Its calculated total energy is -8.66 eV/atom. Its energy above the most stable polymorph in this dataset is 0.00 kJ/mol of atoms. Its space-group type is No. 225.

=====

(5)
Computed, not measured: LiHf2Os2 after structural relaxation at the GGA-PBE level of DFT.

Cell: 6.3107 6.3107 6.3107 Å, 139.03 139.03 59.32°
Closest atoms and distances in Å follow each position.
Fractional coordinates of all 5 atoms:
Li  0.0000  0.0000  0.0000  8 Os 3.36, 8 Hf 3.52
Hf  0.2500  0.7500  0.5000  4 Os 2.67
Hf  0.7500  0.2500  0.5000  4 Os 2.67
Os  0.3866  0.3866  0.0000  1 Os 2.49, 4 Hf 2.67
Os  0.6134  0.6134  0.0000  1 Os 2.49, 4 Hf 2.67

## Properties
For the formation energy from the elements, the calculation gives 0.118 eV per atom. The theoretical density comes out at 11.56 g/cm3. Its calculated total energy is -8.74 eV/atom. Its energy above the most stable polymorph in this dataset is 28.40 kJ/mol of atoms. Its space-group type is No. 139.

=====

(6)
Computed, not measured: LiHf2Os after structural relaxation at the GGA-PBE level of DFT.

Cell: 4.6043 4.6043 3.2689 Å, 90.00 90.00 90.00°
Closest atoms and distances in Å follow each position.
Fractional coordinates of all 4 atoms:
Li  0.0000  0.0000  0.0000  8 Hf 2.82
Hf  0.0000  0.5000  0.5000  4 Li 2.82, 4 Os 2.82
Hf  0.5000  0.0000  0.5000  4 Li 2.82, 4 Os 2.82
Os  0.5000  0.5000  0.0000  8 Hf 2.82

## Properties
For the formation energy from the elements, the calculation gives -0.299 eV per atom. The theoretical density comes out at 13.28 g/cm3. Its calculated total energy is -8.56 eV/atom. Its energy above the most stable polymorph in this dataset is 9.66 kJ/mol of atoms. Its space-group type is No. 123.

=====

(7)
Computed, not measured: LiHf2Os after structural relaxation at the GGA-PBE level of DFT.

Cell: 5.9026 5.9026 5.9026 Å, 103.69 103.69 121.78°
Closest atoms and distances in Å follow each position.
Fractional coordinates of all 8 atoms:
Li  0.0000  0.0000  0.0000  4 Hf 2.76, 2 Os 2.87
Li  0.7500  0.2500  0.5000  4 Hf 2.76, 2 Os 2.87
Hf  0.1422  0.6250  0.0172  2 Os 2.59, 2 Li 2.76, 2 Hf 2.88
Hf  0.3750  0.3922  0.5172  2 Os 2.59, 2 Li 2.76, 2 Hf 2.88
Hf  0.6078  0.1250  0.9828  2 Os 2.59, 2 Li 2.76, 2 Hf 2.88
Hf  0.8750  0.8578  0.4828  2 Os 2.59, 2 Li 2.76, 2 Hf 2.88
Os  0.2500  0.7500  0.5000  4 Hf 2.59, 2 Li 2.87
Os  0.5000  0.5000  0.0000  4 Hf 2.59, 2 Li 2.87

## Properties
For the formation energy from the elements, the calculation gives 0.294 eV per atom. The theoretical density comes out at 12.05 g/cm3. Its calculated total energy is -7.97 eV/atom. Its energy above the most stable polymorph in this dataset is 66.88 kJ/mol of atoms. Its space-group type is No. 122.

=====

(8)
Computed, not measured: LiHfP2Os after structural relaxation at the GGA-PBE level of DFT.

Cell: 4.9655 4.9655 4.9917 Å, 90.00 90.00 90.00°
Closest atoms and distances in Å follow each position.
Fractional coordinates of all 5 atoms:
Li  0.0000  0.0000  0.0000  4 Os 3.51, 8 P 3.52
Hf  0.5000  0.5000  0.5000  4 P 2.48, 2 Os 2.50
P  0.0000  0.5000  0.5000  2 Hf 2.48
P  0.5000  0.0000  0.5000  2 Hf 2.48
Os  0.5000  0.5000  0.0000  2 Hf 2.50

## Properties
For the formation energy from the elements, the calculation gives 0.917 eV per atom. The theoretical density comes out at 5.90 g/cm3. Its calculated total energy is -5.87 eV/atom. Its space-group type is No. 123.